BaMn2IO8, relaxed, DFT PBE+U; space-group type = No. 2; energy = -5.88 eV/atom; spin magnetization = 4.99 μB per cell; D(E_F) = 2.1 states/eV per cell
1.0
-4.7144 2.0515 0.2818
-1.9002 0.5377 -4.7680
-3.4638 -7.0886 0.2053
Ba Mn I O
1 2 1 8
direct
0.0000 0.0000 0.5000
0.3820 0.3815 0.7919
0.6180 0.6185 0.2081
0.0000 0.0000 0.0000
0.2434 0.7808 0.1915
0.7571 0.7576 0.0308
0.7805 0.2451 0.1913
0.7566 0.2192 0.8085
0.2429 0.2424 0.9692
0.2195 0.7549 0.8087
0.6834 0.6887 0.4062
0.3166 0.3113 0.5938